*a*
Mg2TlW | Alexandria | GGA-PBEsol | relaxed; magnetization = 0.77 μB per formula unit
1.0
-3.324 1.541 -1.726
-1.592 -3.715 -0.251
0.539 1.627 5.167
Tl W Mg
1 1 2
direct
0.500 0.500 0.000
0.000 0.000 0.000
0.250 0.750 0.500
0.750 0.250 0.500

*b*
Mg2TlW | Alexandria | GGA-PBEsol | relaxed; magnetization = 0.00 μB per formula unit
1.0
-2.944 -1.502 -2.311
1.726 -3.641 0.169
-1.813 1.596 4.791
Mg W Tl
2 1 1
direct
0.000 0.000 0.000
0.750 0.250 0.500
0.250 0.750 0.500
0.500 0.500 0.000

Least stable = *a*

*a*
MgTl2W | Alexandria | GGA-PBEsol | relaxed; magnetization = 0.00 μB per formula unit
1.0
3.042 0.000 0.000
0.000 5.238 0.006
0.000 -1.625 4.979
Mg W Tl
1 1 2
direct
0.500 0.500 0.500
0.500 0.000 0.000
0.000 0.000 0.500
0.000 0.500 0.000

*b*
MgTl2W | Alexandria | GGA-PBEsol | relaxed; magnetization = 0.00 μB per formula unit
1.0
3.077 0.000 0.000
0.000 4.456 0.000
0.000 0.000 5.971
Mg W Tl
1 1 2
direct
0.500 0.500 0.738
0.000 0.000 0.500
0.500 0.500 0.281
0.000 0.000 0.981

*c*
MgTl2W | Alexandria | GGA-PBEsol | relaxed; magnetization = 0.00 μB per formula unit
1.0
-2.004 1.910 1.504
-0.097 0.017 3.149
5.866 7.400 1.717
Tl Mg W
2 1 1
direct
0.752 0.752 0.745
0.248 0.248 0.255
0.000 0.000 0.000
0.500 0.500 0.500

*d*
MgTl2W | Alexandria | GGA-PBEsol | relaxed; magnetization = 0.00 μB per formula unit
1.0
-1.444 0.509 3.818
1.170 -3.728 0.940
4.379 3.289 -0.999
Tl W Mg
2 1 1
direct
0.000 0.000 0.000
0.749 0.249 0.498
0.500 0.500 0.000
0.251 0.751 0.503

Least stable = *a*